Compound: CoPtW4
Source: Alexandria via LeMat-Bulk
Functional: PBE
Structure: optimized geometry

Calculated values
E_form: 0.56 eV/atom
crystal system: cubic

a = 7.343 Å, b = 7.343 Å, c = 7.343 Å
α = 90.00°, β = 90.00°, γ = 90.00°
Space group F-43m (No. 216)
One atom of each set of equivalent atoms:
1 Co 0.000 0.000 0.000
2 Pt 0.250 0.250 0.750
3 W 0.126 0.126 0.374

Compound: LaScIO2
Source: Alexandria via LeMat-Bulk
Functional: PBE
Structure: optimized geometry

Calculated values
energy above the most stable polymorph in this dataset: 0.000 eV per atom
crystal system: tetragonal

a = 4.295 Å, b = 4.295 Å, c = 5.534 Å
α = 90.00°, β = 90.00°, γ = 90.00°
Space group P4/mmm (No. 123)
One atom of each set of equivalent atoms:
1 La 0.000 0.000 0.000
2 Sc 0.500 0.500 0.500
3 I 0.500 0.500 0.000
4 O 0.000 0.500 0.500

Compound: Si2MoIr
Source: Alexandria via LeMat-Bulk
Functional: PBE
Structure: optimized geometry

Calculated values
final energy: -7.487 eV per atom
crystal system: cubic

a = 6.154 Å, b = 6.154 Å, c = 6.154 Å
α = 90.00°, β = 90.00°, γ = 90.00°
Space group F-43m (No. 216)
One atom of each set of equivalent atoms:
1 Si 0.000 0.000 0.000
2 Si 0.250 0.250 0.250
3 Mo 0.000 0.000 0.500
4 Ir 0.250 0.250 0.750

Compound: Rb2Cd2Ga
Source: Alexandria via LeMat-Bulk
Functional: PBE
Structure: optimized geometry

Calculated values
E_form: 0.05 eV/atom
energy above the most stable polymorph in this dataset: 0.000 eV per atom
crystal system: tetragonal

a = 7.678 Å, b = 7.678 Å, c = 6.117 Å
α = 90.00°, β = 90.00°, γ = 90.00°
Space group P4/mbm (No. 127)
One atom of each set of equivalent atoms:
1 Rb 0.178 0.322 0.000
2 Cd 0.143 0.643 0.500
3 Ga 0.000 0.000 0.500

Compound: PmErAu
Source: Alexandria via LeMat-Bulk
Functional: PBE
Structure: optimized geometry

Calculated values
E_form: -0.43 eV/atom
energy above the most stable polymorph in this dataset: 0.101 eV per atom
crystal system: trigonal

a = 4.9223 Å, b = 4.9223 Å, c = 25.5266 Å
α = 90.00°, β = 90.00°, γ = 120.00°
Space group R-3m (No. 166, hexagonal axes)
One atom of each set of equivalent atoms:
1 Pm 0.0000 0.0000 0.1239
2 Er 0.0000 0.0000 0.3729
3 Au 0.0000 0.0000 0.2564

| no. | DOS at the Fermi energy (states/eV per atom) |
| --- | --- |
| 1 | 0.88 |
| 2 | 0.48 |
| 3 | 0.68 |
| 4 | 0.50 |
| 5 | 1.16 |